The following is a PBEsol calculation of an optimized crystal structure of TaW2, from Alexandria.

Cell: 3.1803 3.1803 9.6065 Å, 90.00 90.00 90.00°
Closest atoms and distances in Å follow each position.
Space group I4/mmm (No. 139)
Symmetry-distinct sites (fractional):
Ta (0.0000, 0.0000, 0.0000)  8 W 2.78
W (0.0000, 0.0000, 0.3299)  4 W 2.72, 4 Ta 2.78

Computed properties:
* total magnetization: 0.00 Bohr magnetons per cell
* raw total energy: -13.501 eV/atom
* D(E_F): 0.391 states/eV/atom
* crystal system: tetragonal
* calculated density: 18.8 g/cm³